No. 1
A plane-wave DFT calculation with PBE-GGA was carried out for a relaxed structure of Er3AsS2.

Cell and atoms, written as POSCAR:
```
Er3AsS2
1.0
3.950 0.000 0.000
-1.975 3.421 0.000
0.000 0.000 9.585
Er As S
3 1 2
Cartesian
0.000 0.000 0.000
0.000 2.280 6.443
1.975 1.140 3.142
0.000 0.000 4.793
0.000 2.280 1.544
1.975 1.140 8.041
```

Calculated values
Crystal system ... trigonal
Uncorrected energy ... -6.256 eV per atom
Relative energy among the computed polymorphs ... 9.5 meV per atom

=====

No. 2
A plane-wave DFT calculation with PBE-GGA was carried out for a relaxed structure of Er3AsS2.

Cell and atoms, written as POSCAR:
```
Er3AsS2
1.0
-1.972 2.786 5.897
1.972 -2.786 5.897
1.972 2.786 -5.897
Er As S
3 1 2
Cartesian
0.000 0.000 0.000
0.000 0.000 3.906
0.000 0.000 7.888
0.000 2.786 0.000
1.972 0.000 1.959
0.000 2.786 3.937
```

Calculated values
Crystal system ... orthorhombic
Uncorrected energy ... -6.265 eV per atom
Relative energy among the computed polymorphs ... 0.0 meV per atom

=====

No. 3
A plane-wave DFT calculation with PBE-GGA was carried out for a relaxed structure of ErSbAs.

Cell and atoms, written as POSCAR:
```
ErSbAs
1.0
0.000 3.440 3.440
3.440 0.000 3.440
3.440 3.440 0.000
Er Sb As
1 1 1
Cartesian
0.000 0.000 0.000
3.440 3.440 3.440
1.720 1.720 1.720
```

Calculated values
Crystal system ... cubic
Uncorrected energy ... -4.800 eV per atom
Relative energy among the computed polymorphs ... 0.0 meV per atom

=====

No. 4
A plane-wave DFT calculation with PBE-GGA was carried out for a relaxed structure of Er3SbAs2.

Cell and atoms, written as POSCAR:
```
Er3SbAs2
1.0
4.146 0.000 0.000
-2.073 3.590 0.000
0.000 0.000 10.295
Er Sb As
3 1 2
Cartesian
0.000 0.000 0.000
0.000 2.393 7.035
2.073 1.197 3.260
0.000 0.000 5.147
0.000 2.393 1.648
2.073 1.197 8.647
```

Calculated values
Crystal system ... trigonal
Uncorrected energy ... -5.882 eV per atom

=====

Calculated volume for every record listed, in sequence, given in Å³ per cell: 130 130 81 153.